(1)
Compound: MgAl4Ir
Source: the Alexandria database
Functional: PBE-GGA
Structure: relaxed

POSCAR file:
```
MgAl4Ir
1.0
8.095 0.000 0.000
0.000 3.920 0.000
0.000 0.000 6.683
Mg Al Ir
2 8 2
direct
0.250 0.000 0.098
0.750 0.000 0.902
0.000 0.000 0.500
0.060 0.500 0.810
0.250 0.500 0.438
0.440 0.500 0.810
0.500 0.000 0.500
0.560 0.500 0.190
0.750 0.500 0.562
0.940 0.500 0.190
0.250 0.000 0.700
0.750 0.000 0.300
```

Results
As for the energy above the most stable polymorph in this dataset: 0 meV/atom. For the density of states at the Fermi level, the calculation gives 0.358 states/eV/atom. The value obtained for the energy relative to the elements is -432 meV/atom. As for the space-group type: Pmma (51). Its magnetic moment is 0.00 μB/f.u.

(2)
Compound: MgAlIr2
Source: the Alexandria database
Functional: PBE-GGA
Structure: relaxed

POSCAR file:
```
MgAlIr2
1.0
2.791 0.000 0.000
0.000 3.955 0.000
0.000 0.000 5.415
Mg Al Ir
1 1 2
direct
0.000 0.000 0.000
0.500 0.500 0.293
0.000 0.000 0.493
0.500 0.500 0.787
```

Results
For the density of states at the Fermi level, the calculation gives 0.528 states/eV/atom. The value obtained for the energy relative to the elements is -391 meV/atom. As for the space-group type: Pmm2 (25). Its magnetic moment is 0.00 μB/f.u.

(3)
Compound: MgAlIr2
Source: the Alexandria database
Functional: PBE-GGA
Structure: relaxed

POSCAR file:
```
MgAlIr2
1.0
4.287 -1.437 0.000
4.287 1.437 0.000
-1.037 0.000 4.857
Mg Al Ir
1 1 2
direct
0.000 0.000 0.000
0.500 0.500 0.500
0.241 0.241 0.737
0.759 0.759 0.263
```

Results
For the density of states at the Fermi level, the calculation gives 0.625 states/eV/atom. The value obtained for the energy relative to the elements is -416 meV/atom. As for the space-group type: C2/m (12). Its magnetic moment is 0.00 μB/f.u.